(1)
Compound: NaBRhPb2
Source: Alexandria via LeMat-Bulk
Functional: PBE
Structure: relaxed

## Properties
**Total energy**: -21.2 eV for the cell shown
**Space-group type**: P4/mmm (123)

Unit cell a=5.2379 b=4.0856 c=5.2379 alpha=90.00 beta=90.00 gamma=90.00
Closest atoms and distances in Å follow each position.
Element x y z (fractional)
Na (0.5000, 0.5000, 0.5000)  8 Pb 3.32, 4 Rh 3.70
Pb (0.5000, 0.0000, 0.0000)  2 B 2.62
Pb (0.0000, 0.0000, 0.5000)  2 B 2.62
Rh (0.0000, 0.5000, 0.0000)  2 B 2.04
B (0.0000, 0.0000, 0.0000)  2 Rh 2.04

=====

(2)
Compound: NaBPb2Se
Source: Alexandria via LeMat-Bulk
Functional: PBE
Structure: relaxed

## Properties
**Total energy**: -13.2 eV for the cell shown
**Space-group type**: P4/mmm (123)
**Raw formation energy**: 1.142 eV/atom

Unit cell a=5.6177 b=4.4460 c=5.6177 alpha=90.00 beta=90.00 gamma=90.00
Closest atoms and distances in Å follow each position.
Element x y z (fractional)
Na (0.0000, 0.0000, 0.0000)  2 B 2.22
Se (0.5000, 0.5000, 0.5000)  8 Pb 3.58, 4 B 3.97
Pb (0.0000, 0.0000, 0.5000)  2 Na 2.81
Pb (0.5000, 0.0000, 0.0000)  2 Na 2.81
B (0.0000, 0.5000, 0.0000)  2 Na 2.22

=====

(3)
Compound: NaSi2BPb
Source: Alexandria via LeMat-Bulk
Functional: PBE
Structure: relaxed

## Properties
**Total energy**: -13.0 eV for the cell shown
**Space-group type**: P4/mmm (123)
**Raw formation energy**: 1.906 eV/atom

Unit cell a=5.2900 b=5.6792 c=5.2900 alpha=90.00 beta=90.00 gamma=90.00
Closest atoms and distances in Å follow each position.
Element x y z (fractional)
Na (0.0000, 0.5000, 0.0000)  2 Pb 2.84
B (0.5000, 0.5000, 0.5000)  4 Na 3.74, 8 Si 3.88
Pb (0.0000, 0.0000, 0.0000)  4 Si 2.65, 2 Na 2.84
Si (0.0000, 0.0000, 0.5000)  2 Pb 2.65
Si (0.5000, 0.0000, 0.0000)  2 Pb 2.65

=====

(4)
Compound: NaB6Pd12
Source: Alexandria via LeMat-Bulk
Functional: PBE
Structure: relaxed

## Properties
**Total energy**: -106.8 eV for the cell shown
**Space-group type**: R-3m (166)

Unit cell a=6.6689 b=6.6689 c=6.6689 alpha=104.86 beta=104.86 gamma=104.86
Closest atoms and distances in Å follow each position.
Element x y z (fractional)
Pd (0.8700, 0.1300, 0.5000)  4 B 2.24-2.35
Pd (0.5000, 0.1300, 0.8700)  4 B 2.24-2.35
Pd (0.1300, 0.8700, 0.5000)  4 B 2.24-2.35
Pd (0.1300, 0.5000, 0.8700)  4 B 2.24-2.35
Pd (0.1854, 0.4531, 0.4531)  3 B 2.23-2.28
Pd (0.8700, 0.5000, 0.1300)  4 B 2.24-2.35
Pd (0.4531, 0.4531, 0.1854)  3 B 2.23-2.28
Pd (0.5469, 0.5469, 0.8146)  3 B 2.23-2.28
Pd (0.4531, 0.1854, 0.4531)  3 B 2.23-2.28
Pd (0.5469, 0.8146, 0.5469)  3 B 2.23-2.28
Pd (0.8146, 0.5469, 0.5469)  3 B 2.23-2.28
Pd (0.5000, 0.8700, 0.1300)  4 B 2.24-2.35
B (0.2378, 0.2378, 0.6537)  7 Pd 2.23-2.35
B (0.7622, 0.7622, 0.3463)  7 Pd 2.23-2.35
B (0.2378, 0.6537, 0.2378)  7 Pd 2.23-2.35
B (0.6537, 0.2378, 0.2378)  7 Pd 2.23-2.35
B (0.3463, 0.7622, 0.7622)  7 Pd 2.23-2.35
B (0.7622, 0.3463, 0.7622)  7 Pd 2.23-2.35
Na (0.0000, 0.0000, 0.0000)  18 Pd 3.36-3.61, 6 B 3.58

=====

(5)
Compound: NaBPd3
Source: Alexandria via LeMat-Bulk
Functional: PBE
Structure: relaxed

## Properties
**Total energy**: -50.1 eV for the cell shown
**Space-group type**: Cm (8)

Unit cell a=5.6307 b=5.5941 c=5.5855 alpha=119.95 beta=90.00 gamma=76.52
Closest atoms and distances in Å follow each position.
Element x y z (fractional)
Pd (0.6353, 0.6925, 0.6908)  2 B 2.16-2.17
Pd (0.5113, 0.2289, 0.2125)  2 B 2.18
Pd (0.0113, 0.2289, 0.2125)  2 B 2.18
Pd (0.1353, 0.6926, 0.6908)  2 B 2.16-2.17
Pd (0.1354, 0.6926, 0.1979)  2 B 2.16
Pd (0.6354, 0.6925, 0.1980)  2 B 2.16-2.17
Na (0.7851, 0.1670, 0.6816)  2 Na 2.82, 8 Pd 2.84-3.12, 2 B 3.11-3.12
Na (0.2851, 0.1670, 0.6816)  2 Na 2.82, 8 Pd 2.84-3.12, 2 B 3.11-3.12
B (0.8439, 0.8718, 0.0340)  6 Pd 2.16-2.18
B (0.3439, 0.8717, 0.0340)  6 Pd 2.16-2.18

=====

(6)
Compound: Na2BPd3
Source: Alexandria via LeMat-Bulk
Functional: PBE
Structure: relaxed

## Properties
**Total energy**: -25.3 eV for the cell shown
**Space-group type**: R-3m (166)

Unit cell a=4.7088 b=4.7088 c=4.7088 alpha=71.84 beta=71.84 gamma=71.84
Closest atoms and distances in Å follow each position.
Element x y z (fractional)
Na (0.3813, 0.3813, 0.3813)  1 Na 2.47, 3 Pd 2.74
Na (0.6187, 0.6187, 0.6187)  1 Na 2.47, 3 Pd 2.74
B (0.0000, 0.0000, 0.0000)  6 Pd 2.35
Pd (0.0000, 0.0000, 0.5000)  2 B 2.35
Pd (0.5000, 0.0000, 0.0000)  2 B 2.35
Pd (0.0000, 0.5000, 0.0000)  2 B 2.35

=====

(7)
Compound: NaBPd3
Source: Alexandria via LeMat-Bulk
Functional: PBE
Structure: relaxed

## Properties
**Total energy**: -49.2 eV for the cell shown
**Space-group type**: P2_1/m (11)

Unit cell a=3.0205 b=6.4676 c=8.7846 alpha=90.00 beta=90.00 gamma=62.72
Closest atoms and distances in Å follow each position.
Element x y z (fractional)
Pd (0.2531, 0.2507, 0.2497)  2 B 2.09
Pd (0.7471, 0.7493, 0.7497)  2 B 2.09
Pd (0.7471, 0.7493, 0.2503)  2 B 2.09
Pd (0.9557, 0.0002, 0.0000)  2 B 2.20
Pd (0.0430, 0.9998, 0.5000)  2 B 2.20
Pd (0.2531, 0.2507, 0.7503)  2 B 2.09
B (0.0002, 0.0000, 0.2500)  6 Pd 2.09-2.20
B (0.0002, 0.0000, 0.7500)  6 Pd 2.09-2.20
Na (0.4888, 0.4994, 0.5000)  10 Pd 2.88-3.06, 2 Na 3.02
Na (0.5117, 0.5006, 0.0000)  10 Pd 2.88-3.06, 2 Na 3.02

=====

(8)
Compound: NaBPd3
Source: Alexandria via LeMat-Bulk
Functional: PBE
Structure: relaxed

## Properties
**Total energy**: -97.5 eV for the cell shown
**Space-group type**: P2_1/c (14)

Unit cell a=19.3124 b=4.8696 c=8.5102 alpha=90.00 beta=156.71 gamma=90.00
Closest atoms and distances in Å follow each position.
Element x y z (fractional)
Pd (0.1400, 0.7511, 0.0177)  1 B 2.08
Pd (0.3600, 0.2511, 0.4823)  1 B 2.08
Pd (0.0633, 0.2616, 0.6922)  2 B 2.14-2.17
Pd (0.5633, 0.2384, 0.1922)  2 B 2.14-2.17
Pd (0.4367, 0.7616, 0.8078)  2 B 2.14-2.17
Pd (0.6963, 0.4795, 0.1887)  2 B 2.07-2.20
Pd (0.1963, 0.0205, 0.6887)  2 B 2.07-2.20
Pd (0.8037, 0.9795, 0.3113)  2 B 2.07-2.20
Pd (0.9367, 0.7384, 0.3078)  2 B 2.14-2.17
Pd (0.6400, 0.7489, 0.5177)  1 B 2.08
Pd (0.8600, 0.2489, 0.9823)  1 B 2.08
Pd (0.3037, 0.5205, 0.8113)  2 B 2.07-2.20
B (0.9028, 0.5633, 0.4700)  5 Pd 2.07-2.20
B (0.5972, 0.0633, 0.0300)  5 Pd 2.07-2.20
B (0.4028, 0.9367, 0.9700)  5 Pd 2.07-2.20
B (0.0972, 0.4367, 0.5300)  5 Pd 2.07-2.20
Na (0.4169, 0.7447, 0.3823)  3 Pd 2.78-3.07, 2 Na 2.86-2.95, 1 B 3.11
Na (0.9169, 0.7553, 0.8823)  3 Pd 2.78-3.07, 2 Na 2.86-2.95, 1 B 3.11
Na (0.5831, 0.2553, 0.6177)  3 Pd 2.78-3.07, 2 Na 2.86-2.95, 1 B 3.11
Na (0.0831, 0.2447, 0.1177)  3 Pd 2.78-3.07, 2 Na 2.86-2.95, 1 B 3.11

=====

(9)
Compound: NaBPd3
Source: Alexandria via LeMat-Bulk
Functional: PBE
Structure: relaxed

## Properties
**Total energy**: -96.9 eV for the cell shown
**Space-group type**: P2_1/c (14)

Unit cell a=20.6207 b=5.6979 c=8.2300 alpha=90.00 beta=161.62 gamma=90.00
Closest atoms and distances in Å follow each position.
Element x y z (fractional)
Pd (0.1752, 0.3987, 0.4946)  3 B 2.18-2.28
Pd (0.3238, 0.4740, 0.1734)  2 B 2.13-2.15
Pd (0.3248, 0.8987, 0.0054)  3 B 2.18-2.28
Pd (0.6762, 0.5260, 0.8266)  2 B 2.13-2.15
Pd (0.5678, 0.1359, 0.3515)  1 B 2.07
Pd (0.6752, 0.1013, 0.9946)  3 B 2.18-2.28
Pd (0.8238, 0.0260, 0.6734)  2 B 2.13-2.15
Pd (0.4322, 0.8641, 0.6485)  1 B 2.07
Pd (0.1762, 0.9740, 0.3266)  2 B 2.13-2.15
Pd (0.8248, 0.6013, 0.5054)  3 B 2.18-2.28
Pd (0.0678, 0.3641, 0.8515)  1 B 2.07
Pd (0.9322, 0.6359, 0.1485)  1 B 2.07
Na (0.5019, 0.6581, 0.1232)  1 Na 2.66, 6 Pd 2.74-2.86
Na (0.4981, 0.3419, 0.8768)  1 Na 2.66, 6 Pd 2.74-2.86
Na (0.9981, 0.1581, 0.3768)  1 Na 2.66, 6 Pd 2.74-2.86
Na (0.0019, 0.8419, 0.6232)  1 Na 2.66, 6 Pd 2.74-2.86
B (0.4480, 0.2539, 0.2845)  6 Pd 2.07-2.28
B (0.9480, 0.2461, 0.7845)  6 Pd 2.07-2.28
B (0.0520, 0.7539, 0.2155)  6 Pd 2.07-2.28
B (0.5520, 0.7461, 0.7155)  6 Pd 2.07-2.28

=====

(10)
Compound: Na2BPd2
Source: Alexandria via LeMat-Bulk
Functional: PBE
Structure: relaxed

## Properties
**Total energy**: -30.2 eV for the cell shown
**Space-group type**: P4/mbm (127)
**Energy relative to the lowest polymorph listed for this composition**: 1089 meV per atom

Unit cell a=6.3562 b=6.3562 c=4.0748 alpha=90.00 beta=90.00 gamma=90.00
Closest atoms and distances in Å follow each position.
Element x y z (fractional)
Pd (0.3193, 0.1807, 0.5000)  6 Na 2.63-2.87
Pd (0.6807, 0.8193, 0.5000)  6 Na 2.63-2.87
Pd (0.1807, 0.6807, 0.5000)  6 Na 2.63-2.87
Pd (0.8193, 0.3193, 0.5000)  6 Na 2.63-2.87
Na (0.8665, 0.6335, 0.0000)  1 Na 2.40, 2 B 2.48, 2 Pd 2.63
Na (0.6335, 0.1335, 0.0000)  1 Na 2.40, 2 B 2.48, 2 Pd 2.63
Na (0.1335, 0.3665, 0.0000)  1 Na 2.40, 2 B 2.48, 2 Pd 2.63
Na (0.3665, 0.8665, 0.0000)  1 Na 2.40, 2 B 2.48, 2 Pd 2.63
B (0.5000, 0.5000, 0.0000)  4 Na 2.48
B (0.0000, 0.0000, 0.0000)  4 Na 2.48

=====

(11)
Compound: NaB2Pd
Source: Alexandria via LeMat-Bulk
Functional: PBE
Structure: relaxed

## Properties
**Total energy**: -16.1 eV for the cell shown
**Space-group type**: Fm-3m (225)
**Energy relative to the lowest polymorph listed for this composition**: 529 meV per atom

Unit cell a=3.9734 b=3.9734 c=3.9734 alpha=60.00 beta=60.00 gamma=60.00
Closest atoms and distances in Å follow each position.
Element x y z (fractional)
B (0.2500, 0.2500, 0.2500)  4 Na 2.43, 4 Pd 2.43
B (0.7500, 0.7500, 0.7500)  4 Na 2.43, 4 Pd 2.43
Na (0.0000, 0.0000, 0.0000)  8 B 2.43
Pd (0.5000, 0.5000, 0.5000)  8 B 2.43

=====

Quick rundown of total moment, same order as above: 0.00, 0.00, 0.00, 0.00, 0.00, 0.00, 0.00, 0.00, 0.00, 0.00, 0.00 μB/atom